Computed, not measured: CsLaRu2 after structural relaxation at the PBE level of DFT.

The structure in CIF format:
```
data_CsLaRu2
_space_group_name_H-M_alt 'P 1'
_space_group_IT_number 1
_cell_length_a 5.078
_cell_length_b 5.078
_cell_length_c 5.078
_cell_angle_alpha 60.00
_cell_angle_beta 60.00
_cell_angle_gamma 60.00
loop_
_space_group_symop_operation_xyz
'x,y,z'
loop_
_atom_site_label
_atom_site_type_symbol
_atom_site_fract_x
_atom_site_fract_y
_atom_site_fract_z
Cs1 Cs 0.000 0.000 0.000
Ru1 Ru 0.250 0.250 0.250
Ru2 Ru 0.750 0.750 0.750
La1 La 0.500 0.500 0.500
```

## Properties
ΔH_f (0 K): 1.141 eV per atom
Total magnetization: 0.00 μB/f.u.
DOS at the Fermi energy: 4.0 states/eV per cell

=====

Computed, not measured: CsLa2Ru after structural relaxation at the PBE level of DFT.

The structure in CIF format:
```
data_CsLa2Ru
_space_group_name_H-M_alt 'P 1'
_space_group_IT_number 1
_cell_length_a 5.452
_cell_length_b 5.452
_cell_length_c 5.452
_cell_angle_alpha 60.00
_cell_angle_beta 60.00
_cell_angle_gamma 60.00
loop_
_space_group_symop_operation_xyz
'x,y,z'
loop_
_atom_site_label
_atom_site_type_symbol
_atom_site_fract_x
_atom_site_fract_y
_atom_site_fract_z
Cs1 Cs 0.500 0.500 0.500
La1 La 0.250 0.250 0.250
La2 La 0.750 0.750 0.750
Ru1 Ru 0.000 0.000 0.000
```

## Properties
ΔH_f (0 K): 0.576 eV per atom
Total magnetization: 0.00 μB/f.u.
DOS at the Fermi energy: 6.4 states/eV per cell

=====

Computed, not measured: CsLa2Ru after structural relaxation at the PBE level of DFT.

The structure in CIF format:
```
data_CsLa2Ru
_space_group_name_H-M_alt 'P 1'
_space_group_IT_number 1
_cell_length_a 8.489
_cell_length_b 8.489
_cell_length_c 8.489
_cell_angle_alpha 60.00
_cell_angle_beta 60.00
_cell_angle_gamma 90.00
loop_
_space_group_symop_operation_xyz
'x,y,z'
loop_
_atom_site_label
_atom_site_type_symbol
_atom_site_fract_x
_atom_site_fract_y
_atom_site_fract_z
Ru1 Ru 0.250 0.750 0.500
Ru2 Ru 0.500 0.500 0.000
La1 La 0.375 0.125 0.250
La2 La 0.375 0.625 0.250
La3 La 0.875 0.625 0.750
Cs1 Cs 0.750 0.250 0.500
Cs2 Cs 0.000 0.000 0.000
La4 La 0.375 0.625 0.750
```

## Properties
ΔH_f (0 K): 0.140 eV per atom
Total magnetization: 0.00 μB/f.u.
DOS at the Fermi energy: 7.0 states/eV per cell

=====

| no. | E_tot (eV per atom) | relative energy among the computed polymorphs (kJ/mol of atoms) |
| --- | --- | --- |
| 1 | -4.942 | 18.84 |
| 2 | -4.420 | 42.06 |
| 3 | -4.856 | 0.00 |